LiHgRu2N: relaxed, PBE.

abc: 3.986 3.986 4.314
angles: 90.00 90.00 90.00
Space group P4/mmm (No. 123)
Inequivalent atoms, fractional coordinates:
1 Li 0.000 0.000 0.000 x1
2 Hg 0.500 0.500 0.000 x1
3 Ru 0.000 0.500 0.500 x2
4 N 0.000 0.000 0.500 x1

Computed properties:
Density of states at the Fermi level, states/eV/atom: 0.905
M_tot, μB/atom: 0.118
Calculated total energy, eV per atom: -5.8059